Record 1
HfCl | PBE-GGA | relaxed

Properties
- Total magnetization: 1.19 μB per cell
- Crystal system: tetragonal
- Fermi-level density of states: 17.151 states/eV/cell
- Formation energy from raw total energies: -0.842 eV/atom
- Total energy: -107.875 eV per cell

Lattice parameters (Å, degrees): 10.717 10.717 3.293 90.00 90.00 90.00
Space group I4/m (No. 87)
One atom of each set of equivalent atoms:
Hf 0.098 0.640 0.000 [8 per cell]
Cl 0.142 0.828 0.500 [8 per cell]

***

Record 2
HfCl | PBE-GGA | relaxed

Properties
- Total magnetization: 0.00 μB per cell
- Crystal system: orthorhombic
- Fermi-level density of states: 6.434 states/eV/cell
- Formation energy from raw total energies: -0.531 eV/atom
- Total energy: -77.173 eV per cell

Lattice parameters (Å, degrees): 8.534 5.182 5.383 90.00 90.00 90.00
Space group Pmn2_1 (No. 31)
One atom of each set of equivalent atoms:
Hf 0.000 0.250 0.000 [2 per cell]
Hf 0.184 0.095 0.464 [4 per cell]
Cl 0.000 0.801 0.767 [2 per cell]
Cl 0.179 0.585 0.274 [4 per cell]

***

Record 3
HfCl | PBE-GGA | relaxed

Properties
- Total magnetization: 0.00 μB per cell
- Crystal system: tetragonal
- Fermi-level density of states: 9.602 states/eV/cell
- Formation energy from raw total energies: -0.869 eV/atom
- Total energy: -108.304 eV per cell

Lattice parameters (Å, degrees): 10.776 10.776 3.275 90.00 90.00 90.00
Space group P4/m (No. 83)
One atom of each set of equivalent atoms:
Hf 0.083 0.621 0.000 [4 per cell]
Hf 0.157 0.387 0.500 [4 per cell]
Cl 0.136 0.810 0.500 [4 per cell]
Cl 0.342 0.352 0.000 [4 per cell]

***

Record 4
HfCl | PBE-GGA | relaxed

Properties
- Total magnetization: 0.00 μB per cell
- Crystal system: cubic
- Fermi-level density of states: 8.137 states/eV/cell
- Formation energy from raw total energies: 0.242 eV/atom
- Total energy: -45.268 eV per cell

Lattice parameters (Å, degrees): 5.270 5.270 5.270 90.00 90.00 90.00
Space group Fm-3m (No. 225)
One atom of each set of equivalent atoms:
Hf 0.000 0.000 0.000 [4 per cell]
Cl 0.000 0.000 0.500 [4 per cell]

***

Record 5
Hf4Cl | PBE-GGA | relaxed

Properties
- Total magnetization: 0.00 μB per cell
- Crystal system: cubic
- Fermi-level density of states: 2.811 states/eV/cell
- Formation energy from raw total energies: 0.035 eV/atom
- Total energy: -41.484 eV per cell

Lattice parameters (Å, degrees): 4.760 4.760 4.760 90.00 90.00 90.00
Space group Pm-3m (No. 221)
One atom of each set of equivalent atoms:
Hf 0.000 0.000 0.000 [1 per cell]
Hf 0.000 0.500 0.500 [3 per cell]
Cl 0.500 0.500 0.500 [1 per cell]

***

Record 6
HfCl | PBE-GGA | relaxed

Properties
- Total magnetization: 0.00 μB per cell
- Crystal system: cubic
- Fermi-level density of states: 14.356 states/eV/cell
- Formation energy from raw total energies: 0.435 eV/atom
- Total energy: -65.586 eV per cell

Lattice parameters (Å, degrees): 6.911 6.911 6.911 90.00 90.00 90.00
Space group Pm-3n (No. 223)
One atom of each set of equivalent atoms:
Hf 0.000 0.250 0.500 [6 per cell]
Cl 0.000 0.500 0.250 [6 per cell]

***

Record 7
HfCl | PBE-GGA | relaxed

Properties
- Total magnetization: 1.26 μB per cell
- Crystal system: hexagonal
- Fermi-level density of states: 3.085 states/eV/cell
- Formation energy from raw total energies: -0.633 eV/atom
- Total energy: -26.134 eV per cell

Lattice parameters (Å, degrees): 3.2282 3.2282 9.0360 90.00 90.00 120.00
Space group P6_3mc (No. 186)
One atom of each set of equivalent atoms:
Hf 0.3333 0.6667 0.0000 [2 per cell]
Cl 0.3333 0.6667 0.7087 [2 per cell]

***

Record 8
HfCl | PBE-GGA | relaxed

Properties
- Total magnetization: 0.00 μB per cell
- Crystal system: tetragonal
- Fermi-level density of states: 6.299 states/eV/cell
- Formation energy from raw total energies: 0.020 eV/atom
- Total energy: -47.043 eV per cell

Lattice parameters (Å, degrees): 7.836 7.836 3.147 90.00 90.00 90.00
Space group P4_2/mnm (No. 136)
One atom of each set of equivalent atoms:
Hf 0.193 0.193 0.000 [4 per cell]
Cl 0.128 0.872 0.000 [4 per cell]